Computed, not measured: a relaxed structure of NaYHo2 at the PBE level of DFT.

a b c (Å): 3.4961 3.4961 12.8156
angles (deg): 82.16 82.16 60.00
Last column: nearest neighbours and their distance in Å.
Element x y z (fractional)
Y1 0.5000 0.5000 0.5000  6 Ho 3.48, 6 Y 3.50
Na1 0.0000 0.0000 0.0000  2 Ho 3.50, 6 Na 3.50
Ho1 0.0921 0.0921 0.7238  3 Y 3.48, 1 Na 3.50, 6 Ho 3.50
Ho2 0.9079 0.9079 0.2762  3 Y 3.48, 1 Na 3.50, 6 Ho 3.50

DFT formation energy = 0.171 eV per atom
excess energy over the best structure of this formula in the dataset = 27 meV per atom

***

Computed, not measured: a relaxed structure of NaIn6Sn12 at the PBE level of DFT.

a b c (Å): 8.1112 8.1112 8.1112
angles (deg): 92.68 92.68 92.68
Last column: nearest neighbours and their distance in Å.
Element x y z (fractional)
Na1 0.0000 0.0000 0.0000  6 Sn 3.17, 6 In 3.29
In1 0.2813 0.1266 0.7489  6 Sn 3.11-3.44, 1 Na 3.29
In2 0.8734 0.2511 0.7187  6 Sn 3.11-3.44, 1 Na 3.29
In3 0.2511 0.7187 0.8734  6 Sn 3.11-3.44, 1 Na 3.29
In4 0.7187 0.8734 0.2511  6 Sn 3.11-3.44, 1 Na 3.29
In5 0.1266 0.7489 0.2813  6 Sn 3.11-3.44, 1 Na 3.29
In6 0.7489 0.2813 0.1266  6 Sn 3.11-3.44, 1 Na 3.29
Sn1 0.5175 0.2103 0.4705  2 In 3.11-3.44, 6 Sn 3.11-3.47
Sn2 0.2103 0.4705 0.5175  2 In 3.11-3.44, 6 Sn 3.11-3.47
Sn3 0.4705 0.5175 0.2103  2 In 3.11-3.44, 6 Sn 3.11-3.47
Sn4 0.4825 0.7897 0.5295  2 In 3.11-3.44, 6 Sn 3.11-3.47
Sn5 0.7897 0.5295 0.4825  2 In 3.11-3.44, 6 Sn 3.11-3.47
Sn6 0.5295 0.4825 0.7897  2 In 3.11-3.44, 6 Sn 3.11-3.47
Sn7 0.9651 0.8567 0.6285  2 Sn 3.11-3.24, 1 Na 3.17, 4 In 3.26-3.37
Sn8 0.3715 0.0349 0.1433  2 Sn 3.11-3.24, 1 Na 3.17, 4 In 3.26-3.37
Sn9 0.1433 0.3715 0.0349  2 Sn 3.11-3.24, 1 Na 3.17, 4 In 3.26-3.37
Sn10 0.0349 0.1433 0.3715  2 Sn 3.11-3.24, 1 Na 3.17, 4 In 3.26-3.37
Sn11 0.6285 0.9651 0.8567  2 Sn 3.11-3.24, 1 Na 3.17, 4 In 3.26-3.37
Sn12 0.8567 0.6285 0.9651  2 Sn 3.11-3.24, 1 Na 3.17, 4 In 3.26-3.37

DFT formation energy = 0.068 eV per atom